[1]
A plane-wave DFT calculation with SCAN was carried out for a PBEsol-optimized structure of AgSe3.

## Properties
E_form (uncorrected), eV/atom: 0.0885
M_tot, μB/atom: 0.000
VASP energy, eV per atom: -22.812

```
data_AgSe3
_symmetry_space_group_name_H-M 'P 1'
_symmetry_Int_Tables_number 1
_symmetry_space_group_name_Hall 'P 1'
_cell_length_a 7.435
_cell_length_b 6.750
_cell_length_c 7.275
_cell_angle_alpha 90.00
_cell_angle_beta 90.00
_cell_angle_gamma 90.00
loop_
_atom_site_label
_atom_site_type_symbol
_atom_site_fract_x
_atom_site_fract_y
_atom_site_fract_z
Ag1 Ag 0.097 0.250 0.152
Ag2 Ag 0.403 0.750 0.652
Ag3 Ag 0.597 0.250 0.348
Ag4 Ag 0.903 0.750 0.848
Se1 Se 0.119 0.250 0.627
Se2 Se 0.187 0.510 0.844
Se3 Se 0.187 0.990 0.844
Se4 Se 0.313 0.010 0.344
Se5 Se 0.313 0.490 0.344
Se6 Se 0.381 0.750 0.127
Se7 Se 0.619 0.250 0.873
Se8 Se 0.687 0.510 0.656
Se9 Se 0.687 0.990 0.656
Se10 Se 0.813 0.010 0.156
Se11 Se 0.813 0.490 0.156
Se12 Se 0.881 0.750 0.373
```

---

[2]
A plane-wave DFT calculation with SCAN was carried out for a PBEsol-optimized structure of BaMg4Se.

## Properties
E_form (uncorrected), eV/atom: -0.0574
M_tot, μB/atom: 0.019
VASP energy, eV per atom: -13.311

```
data_BaMg4Se
_symmetry_space_group_name_H-M 'P 1'
_symmetry_Int_Tables_number 1
_symmetry_space_group_name_Hall 'P 1'
_cell_length_a 6.146
_cell_length_b 6.146
_cell_length_c 6.146
_cell_angle_alpha 60.00
_cell_angle_beta 60.00
_cell_angle_gamma 60.00
loop_
_atom_site_label
_atom_site_type_symbol
_atom_site_fract_x
_atom_site_fract_y
_atom_site_fract_z
Ba1 Ba 0.000 0.000 0.000
Mg1 Mg 0.376 0.376 0.376
Mg2 Mg 0.376 0.376 0.871
Mg3 Mg 0.376 0.871 0.376
Mg4 Mg 0.871 0.376 0.376
Se1 Se 0.750 0.750 0.750
```

---

[3]
A plane-wave DFT calculation with SCAN was carried out for a PBEsol-optimized structure of Sc2FeIrRh.

## Properties
M_tot, μB/atom: 0.589
VASP energy, eV per atom: -29.813

```
data_Sc2FeIrRh
_symmetry_space_group_name_H-M 'P 1'
_symmetry_Int_Tables_number 1
_symmetry_space_group_name_Hall 'P 1'
_cell_length_a 4.779
_cell_length_b 4.779
_cell_length_c 4.677
_cell_angle_alpha 90.00
_cell_angle_beta 90.00
_cell_angle_gamma 90.00
loop_
_atom_site_label
_atom_site_type_symbol
_atom_site_fract_x
_atom_site_fract_y
_atom_site_fract_z
Sc1 Sc 0.000 0.500 0.000
Sc2 Sc 0.500 0.000 0.000
Fe1 Fe 0.000 0.000 0.500
Ir1 Ir 0.500 0.500 0.500
Rh1 Rh 0.500 0.500 0.000
```

---

[4]
A plane-wave DFT calculation with SCAN was carried out for a PBEsol-optimized structure of HfTc2Au2.

## Properties
M_tot, μB/atom: 0.000
VASP energy, eV per atom: -54.127

```
data_HfTc2Au2
_symmetry_space_group_name_H-M 'P 1'
_symmetry_Int_Tables_number 1
_symmetry_space_group_name_Hall 'P 1'
_cell_length_a 3.966
_cell_length_b 3.966
_cell_length_c 11.458
_cell_angle_alpha 90.00
_cell_angle_beta 90.00
_cell_angle_gamma 90.00
loop_
_atom_site_label
_atom_site_type_symbol
_atom_site_fract_x
_atom_site_fract_y
_atom_site_fract_z
Hf1 Hf 0.000 0.000 0.000
Hf2 Hf 0.500 0.500 0.500
Tc1 Tc 0.000 0.000 0.407
Tc2 Tc 0.000 0.000 0.593
Tc3 Tc 0.500 0.500 0.093
Tc4 Tc 0.500 0.500 0.907
Au1 Au 0.000 0.500 0.250
Au2 Au 0.000 0.500 0.750
Au3 Au 0.500 0.000 0.250
Au4 Au 0.500 0.000 0.750
```

---

Copy entry 2 word for word.
A plane-wave DFT calculation with SCAN was carried out for a PBEsol-optimized structure of BaMg4Se.

## Properties
E_form (uncorrected), eV/atom: -0.0574
M_tot, μB/atom: 0.019
VASP energy, eV per atom: -13.311

```
data_BaMg4Se
_symmetry_space_group_name_H-M 'P 1'
_symmetry_Int_Tables_number 1
_symmetry_space_group_name_Hall 'P 1'
_cell_length_a 6.146
_cell_length_b 6.146
_cell_length_c 6.146
_cell_angle_alpha 60.00
_cell_angle_beta 60.00
_cell_angle_gamma 60.00
loop_
_atom_site_label
_atom_site_type_symbol
_atom_site_fract_x
_atom_site_fract_y
_atom_site_fract_z
Ba1 Ba 0.000 0.000 0.000
Mg1 Mg 0.376 0.376 0.376
Mg2 Mg 0.376 0.376 0.871
Mg3 Mg 0.376 0.871 0.376
Mg4 Mg 0.871 0.376 0.376
Se1 Se 0.750 0.750 0.750
```

---

> Among the records above, which one has the highest M_tot?

Sc2FeIrRh